Record 1
Here is a geometry-optimized YCu2Sn structure from OQMD. Energies are from PBE-GGA.

```
4
Lattice="4.565 -1.295 0.229 1.150 -4.594 0.378 2.016 -2.254 -3.664" Properties=species:S:1:pos:R:3 pbc="T T T"
Y 1.933 -2.036 -0.764
Cu 5.798 -6.107 -2.293
Cu 0.000 0.000 0.000
Sn 3.865 -4.071 -1.529
```

Summary:
Symmetry: No. 216


Record 2
Here is a geometry-optimized CdPd2Au structure from OQMD. Energies are from PBE-GGA.

```
16
Lattice="5.890 0.000 0.000 0.000 6.152 0.000 0.000 0.000 7.470" Properties=species:S:1:pos:R:3 pbc="T T T"
Pd 0.002 0.000 1.856
Au 1.481 4.614 0.000
Au 4.426 1.538 3.735
Pd 2.947 0.000 1.879
Pd 5.888 3.075 5.614
Cd 4.409 4.614 0.000
Au 1.464 4.614 3.734
Cd 4.426 4.614 3.735
Pd 0.002 3.076 1.856
Au 4.408 1.538 0.000
Pd 2.943 3.076 5.591
Cd 1.481 1.538 0.000
Pd 2.943 0.000 5.591
Pd 2.947 3.075 1.879
Pd 5.888 0.000 5.614
Cd 1.464 1.538 3.735
```

Summary:
Calculated formation energy in eV/atom: -0.306
Symmetry: No. 74


Record 3
Here is a geometry-optimized SmCdGe structure from OQMD. Energies are from PBE-GGA.

```
3
Lattice="-1.964 -3.145 -3.045 -4.557 0.541 -1.400 -0.985 1.319 -4.507" Properties=species:S:1:pos:R:3 pbc="T T T"
Cd 0.000 0.000 0.000
Sm -5.629 -0.963 -6.714
Ge -1.876 -0.321 -2.238
```

Summary:
Symmetry: No. 216


Record 4
Here is a geometry-optimized SrRe2Au structure from OQMD. Energies are from PBE-GGA.

```
4
Lattice="-1.765 -0.495 4.356 -4.621 -0.789 0.602 -1.502 -4.231 1.474" Properties=species:S:1:pos:R:3 pbc="T T T"
Sr -5.916 -4.136 4.824
Re -1.972 -1.379 1.608
Au -3.944 -2.757 3.216
Re 0.000 0.000 0.000
```

Summary:
Symmetry: No. 216


Record 5
Here is a geometry-optimized HfFeAsAu structure from OQMD. Energies are from PBE-GGA.

```
4
Lattice="3.033 -1.172 3.262 1.467 3.152 3.021 -1.330 -0.236 4.403" Properties=species:S:1:pos:R:3 pbc="T T T"
Au 0.792 0.436 2.671
Fe 2.377 1.308 8.014
As 0.000 0.000 0.000
Hf 1.585 0.872 5.343
```

Summary:
Symmetry: No. 216


Record 6
Here is a geometry-optimized Hf2Zr structure from OQMD. Energies are from PBE-GGA.

```
6
Lattice="4.558 -7.119 -0.191 7.696 0.000 -3.503 6.866 -0.756 4.877" Properties=species:S:1:pos:R:3 pbc="T T T"
Hf 7.170 -2.953 0.444
Zr 9.560 -3.938 0.591
Zr 4.780 -1.969 0.296
Hf 10.603 -3.332 2.882
Hf 11.018 -2.953 -1.308
Hf 9.449 -6.513 0.348
```

Summary:
Calculated formation energy in eV/atom: 3.127
Symmetry: No. 227


Record order is preserved below.
Calculated total energy: -4.634; -3.934; -3.585; -6.520; -6.491; -6.359 eV per atom